Na2HoRuO6 (PBE, optimized geometry); space-group type = No. 14; electronic total energy = -6.335 eV per atom; DOS at the Fermi energy = 8.5 states/eV per cell
1.0
-1.1237 2.9657 -4.6273
-0.2985 -4.8438 -3.0319
-7.8358 -0.5351 1.6264
O Na Ho Ru
12 4 2 2
direct
0.9151 0.5246 0.2293
0.3184 0.7253 0.4529
0.1816 0.2253 0.0471
0.0849 0.4754 0.7707
0.8184 0.7747 0.9529
0.5849 0.0246 0.2707
0.2249 0.1862 0.4578
0.7751 0.8138 0.5422
0.7249 0.3138 0.9578
0.6816 0.2747 0.5471
0.4151 0.9754 0.7293
0.2751 0.6862 0.0422
0.5086 0.5388 0.7502
0.0086 0.9612 0.2502
0.4914 0.4612 0.2498
0.9914 0.0388 0.7498
0.0000 0.5000 0.5000
0.5000 0.0000 0.0000
0.5000 0.0000 0.5000
0.0000 0.5000 0.0000